Compound: ZnReOs2
Source: Alexandria
Functional: PBEsol
Structure: optimized geometry

As for the space-group type: F-43m (216). As for the energy: -37.391 eV for the cell shown. As for the size of the total moment: 0.00 Bohr magnetons per cell.

a = 4.3006 Å, b = 4.3006 Å, c = 4.3006 Å
α = 60.00°, β = 60.00°, γ = 60.00°
With the nearest neighbours (Å) after each atom.
Atoms (fractional coordinates):
1 Zn 0.2500 0.2500 0.2500  4 Re 2.63, 4 Os 2.63
2 Re 0.5000 0.5000 0.5000  4 Os 2.63, 4 Zn 2.63
3 Os 0.0000 0.0000 0.0000  4 Zn 2.63, 4 Os 2.63
4 Os 0.7500 0.7500 0.7500  4 Re 2.63, 4 Os 2.63

***

Compound: Y2AlIn
Source: Alexandria
Functional: PBEsol
Structure: optimized geometry

As for the space-group type: Amm2 (38). As for the energy: -22.538 eV for the cell shown. As for the size of the total moment: 0.44 Bohr magnetons per cell.

a = 3.7987 Å, b = 4.5208 Å, c = 6.1457 Å
α = 90.00°, β = 108.00°, γ = 90.00°
With the nearest neighbours (Å) after each atom.
Atoms (fractional coordinates):
1 Y 0.0928 0.0000 0.1856  4 In 3.11, 3 Al 3.14-3.30
2 Y 0.4027 0.5000 0.8055  4 Al 3.09, 3 In 3.21-3.25
3 Al 0.8240 0.0000 0.6481  2 In 2.84, 5 Y 3.09-3.14
4 In 0.6776 0.5000 0.3551  2 Al 2.84, 4 Y 3.11

***

Compound: Sc2TeSe
Source: Alexandria
Functional: PBEsol
Structure: optimized geometry

As for the space-group type: I-42d (122). As for the energy: -49.187 eV for the cell shown. The energy relative to the lowest polymorph listed for this composition is 435 meV/atom. As for the size of the total moment: 0.00 Bohr magnetons per cell. Its formation energy without anion corrections is -1.0018 eV per atom.

a = 6.2059 Å, b = 6.2059 Å, c = 7.5855 Å
α = 114.15°, β = 114.15°, γ = 90.00°
With the nearest neighbours (Å) after each atom.
Atoms (fractional coordinates):
1 Se 0.5000 0.5000 0.0000  4 Sc 2.58
2 Se 0.7500 0.2500 0.5000  4 Sc 2.58
3 Sc 0.4042 0.8750 0.2500  2 Se 2.58, 2 Te 2.79
4 Sc 0.1250 0.1542 0.7500  2 Se 2.58, 2 Te 2.79
5 Sc 0.8458 0.3750 0.2500  2 Se 2.58, 2 Te 2.79
6 Sc 0.6250 0.5958 0.7500  2 Se 2.58, 2 Te 2.79
7 Te 0.0000 0.0000 0.0000  4 Sc 2.79
8 Te 0.2500 0.7500 0.5000  4 Sc 2.79

***

Compound: Cd3BrF
Source: Alexandria
Functional: PBEsol
Structure: optimized geometry

As for the space-group type: Pm-3m (221). As for the energy: -8.896 eV for the cell shown. As for the size of the total moment: 0.00 Bohr magnetons per cell. Its formation energy without anion corrections is -0.3015 eV per atom.

a = 4.8988 Å, b = 4.8988 Å, c = 4.8988 Å
α = 90.00°, β = 90.00°, γ = 90.00°
With the nearest neighbours (Å) after each atom.
Atoms (fractional coordinates):
1 F 0.0000 0.0000 0.0000  6 Cd 2.45
2 Br 0.5000 0.5000 0.5000  12 Cd 3.46
3 Cd 0.0000 0.5000 0.0000  2 F 2.45
4 Cd 0.0000 0.0000 0.5000  2 F 2.45
5 Cd 0.5000 0.0000 0.0000  2 F 2.45

***

Compound: Mg2CoW
Source: Alexandria
Functional: PBEsol
Structure: optimized geometry

As for the space-group type: Fm-3m (225). As for the energy: -21.458 eV for the cell shown. The energy relative to the lowest polymorph listed for this composition is 460 meV/atom. As for the size of the total moment: 2.71 Bohr magnetons per cell.

a = 4.4370 Å, b = 4.4370 Å, c = 4.4370 Å
α = 60.00°, β = 60.00°, γ = 60.00°
With the nearest neighbours (Å) after each atom.
Atoms (fractional coordinates):
1 W 0.5000 0.5000 0.5000  8 Mg 2.72
2 Mg 0.2500 0.2500 0.2500  4 W 2.72, 4 Co 2.72
3 Mg 0.7500 0.7500 0.7500  4 W 2.72, 4 Co 2.72
4 Co 0.0000 0.0000 0.0000  8 Mg 2.72

***

Compound: PtRhAu2
Source: Alexandria
Functional: PBEsol
Structure: optimized geometry

As for the space-group type: R3m (160). As for the energy: -22.618 eV for the cell shown. The energy relative to the lowest polymorph listed for this composition is 9 meV/atom. As for the size of the total moment: 0.62 Bohr magnetons per cell.

a = 2.7910 Å, b = 2.7910 Å, c = 9.3704 Å
α = 81.44°, β = 81.44°, γ = 60.00°
With the nearest neighbours (Å) after each atom.
Atoms (fractional coordinates):
1 Au 0.7515 0.7515 0.7454  9 Au 2.79-2.92, 3 Pt 2.86
2 Au 0.9969 0.9969 0.0092  9 Au 2.79-2.92, 3 Rh 2.79
3 Rh 0.2479 0.2479 0.2563  3 Pt 2.69, 6 Rh 2.79, 3 Au 2.79
4 Pt 0.5036 0.5036 0.4891  3 Rh 2.69, 6 Pt 2.79, 3 Au 2.86

***

Compound: YMgPt2
Source: Alexandria
Functional: PBEsol
Structure: optimized geometry

As for the space-group type: P4/mmm (123). As for the energy: -26.374 eV for the cell shown. As for the size of the total moment: 0.00 Bohr magnetons per cell.

a = 3.3516 Å, b = 3.3516 Å, c = 6.4416 Å
α = 90.00°, β = 90.00°, γ = 90.00°
With the nearest neighbours (Å) after each atom.
Atoms (fractional coordinates):
1 Y 0.5000 0.5000 0.5000  8 Pt 2.95, 2 Mg 3.22
2 Pt 0.0000 0.0000 0.7720  4 Mg 2.79, 1 Pt 2.94, 4 Y 2.95
3 Pt 0.0000 0.0000 0.2280  4 Mg 2.79, 1 Pt 2.94, 4 Y 2.95
4 Mg 0.5000 0.5000 0.0000  8 Pt 2.79

***

Compound: CeIn3Cu4Se8
Source: Alexandria
Functional: PBEsol
Structure: optimized geometry

As for the space-group type: P-4 (81). As for the energy: -71.597 eV for the cell shown. As for the size of the total moment: 0.95 Bohr magnetons per cell. Its formation energy without anion corrections is -0.4947 eV per atom.

a = 5.7934 Å, b = 5.7934 Å, c = 11.8423 Å
α = 90.00°, β = 90.00°, γ = 90.00°
With the nearest neighbours (Å) after each atom.
Atoms (fractional coordinates):
1 Cu 0.0000 0.0000 0.0000  4 Se 2.38
2 Cu 0.0000 0.5000 0.2443  4 Se 2.40
3 Cu 0.5000 0.5000 0.5000  4 Se 2.42
4 Cu 0.5000 0.0000 0.7557  4 Se 2.40
5 Se 0.7506 0.2141 0.8787  2 Cu 2.38-2.40, 2 In 2.62-2.63
6 Se 0.2956 0.2654 0.6362  2 Cu 2.40-2.42, 1 In 2.62
7 Se 0.2654 0.7044 0.3638  2 Cu 2.40-2.42, 1 In 2.62
8 Se 0.7859 0.7506 0.1213  2 Cu 2.38-2.40, 2 In 2.62-2.63
9 Se 0.2141 0.2494 0.1213  2 Cu 2.38-2.40, 2 In 2.62-2.63
10 Se 0.7346 0.2956 0.3638  2 Cu 2.40-2.42, 1 In 2.62
11 Se 0.2494 0.7859 0.8787  2 Cu 2.38-2.40, 2 In 2.62-2.63
12 Se 0.7044 0.7346 0.6362  2 Cu 2.40-2.42, 1 In 2.62
13 In 0.5000 0.0000 0.2419  4 Se 2.62
14 In 0.5000 0.5000 0.0000  4 Se 2.63
15 In 0.0000 0.5000 0.7581  4 Se 2.62
16 Ce 0.0000 0.0000 0.5000  4 Se 2.81